# HfMnBRh2

HfMnBRh2 after structural relaxation (GGA-PBE, the Alexandria database).

Lattice parameters (Å, degrees): 4.1050 4.1050 4.0393 90.00 90.00 90.00
Element x y z (fractional)
Hf (0.0000, 0.0000, 0.0000)
Mn (0.5000, 0.5000, 0.0000)
B (0.5000, 0.5000, 0.5000)
Rh (0.0000, 0.5000, 0.5000)
Rh (0.5000, 0.0000, 0.5000)

Values from the calculation:
**Formation enthalpy at 0 K**: -52 kJ per mole of atoms
**Crystal system**: tetragonal

=====

# HfMnBRu2

HfMnBRu2 after structural relaxation (GGA-PBE, the Alexandria database).

Lattice parameters (Å, degrees): 4.1509 4.1509 3.9404 90.00 90.00 90.00
Element x y z (fractional)
Hf (0.0000, 0.0000, 0.0000)
Mn (0.5000, 0.5000, 0.0000)
B (0.5000, 0.5000, 0.5000)
Ru (0.0000, 0.5000, 0.5000)
Ru (0.5000, 0.0000, 0.5000)

Values from the calculation:
**Formation enthalpy at 0 K**: -39 kJ per mole of atoms
**Crystal system**: tetragonal

=====

# Hf2MnSiB

Hf2MnSiB after structural relaxation (GGA-PBE, the Alexandria database).

Lattice parameters (Å, degrees): 4.5229 4.5229 3.8378 90.00 90.00 90.00
Element x y z (fractional)
Hf (0.0000, 0.5000, 0.0000)
Hf (0.5000, 0.0000, 0.0000)
Mn (0.0000, 0.0000, 0.5000)
Si (0.5000, 0.5000, 0.5000)
B (0.0000, 0.0000, 0.0000)

Values from the calculation:
**Energy relative to the elements, uncorrected**: -0.2431 eV per atom
**Crystal system**: tetragonal

=====

# HfTaMn2B

HfTaMn2B after structural relaxation (GGA-PBE, the Alexandria database).

Lattice parameters (Å, degrees): 4.5256 4.5256 5.1009 90.00 90.00 90.00
Element x y z (fractional)
Hf (0.0000, 0.0000, 0.0000)
Ta (0.0000, 0.0000, 0.5000)
Mn (0.0000, 0.5000, 0.0000)
Mn (0.5000, 0.0000, 0.0000)
B (0.5000, 0.5000, 0.5000)

Values from the calculation:
**Formation enthalpy at 0 K**: 237 kJ per mole of atoms
**Crystal system**: tetragonal